A geometry-optimized Sm5Tl3Hg structure, computed with GGA-PBE.

Cell lengths 9.4588, 9.4588, 6.8190 Å; angles 90.00, 90.00, 60.00 degrees
With the nearest neighbours (Å) after each atom.
Fractional positions:
Hg: 0.0000 0.0000 0.0000  6 Sm 3.19, 2 Hg 3.41
Hg: 0.0000 0.0000 0.5000  6 Sm 3.19, 2 Hg 3.41
Sm: 0.3333 0.3333 0.0000  8 Sm 3.41-3.81, 6 Tl 3.43
Sm: 0.6667 0.6667 0.0000  8 Sm 3.41-3.81, 6 Tl 3.43
Sm: 0.7151 0.0000 0.2500  2 Hg 3.19, 5 Tl 3.21-3.51
Sm: 0.0000 0.2849 0.2500  2 Hg 3.19, 5 Tl 3.21-3.51
Sm: 0.2850 0.7150 0.2500  2 Hg 3.19, 5 Tl 3.21-3.51
Sm: 0.3333 0.3333 0.5000  8 Sm 3.41-3.81, 6 Tl 3.43
Sm: 0.6667 0.6667 0.5000  8 Sm 3.41-3.81, 6 Tl 3.43
Sm: 0.2849 0.0000 0.7500  2 Hg 3.19, 5 Tl 3.21-3.51
Sm: 0.7150 0.2850 0.7500  2 Hg 3.19, 5 Tl 3.21-3.51
Sm: 0.0000 0.7151 0.7500  2 Hg 3.19, 5 Tl 3.21-3.51
Tl: 0.3749 0.0000 0.2500  9 Sm 3.21-3.51
Tl: 0.6251 0.3749 0.2500  9 Sm 3.21-3.51
Tl: 0.0000 0.6251 0.2500  9 Sm 3.21-3.51
Tl: 0.6251 0.0000 0.7500  9 Sm 3.21-3.51
Tl: 0.0000 0.3749 0.7500  9 Sm 3.21-3.51
Tl: 0.3749 0.6251 0.7500  9 Sm 3.21-3.51

Properties
Space-group type: P6_3/mcm, No. 193

---

A geometry-optimized SmTlHg structure, computed with GGA-PBE.

Cell lengths 4.2501, 4.2501, 6.2416 Å; angles 90.00, 90.00, 90.00 degrees
With the nearest neighbours (Å) after each atom.
Fractional positions:
Hg: 0.0000 0.0000 0.0000  4 Sm 3.01
Sm: 0.5000 0.5000 0.0000  4 Hg 3.01, 2 Tl 3.12
Tl: 0.5000 0.5000 0.5000  2 Sm 3.12

Properties
Space-group type: P4/mmm, No. 123

---

A geometry-optimized SmTlHg structure, computed with GGA-PBE.

Cell lengths 5.2937, 5.2937, 6.5560 Å; angles 90.00, 90.00, 119.99 degrees
With the nearest neighbours (Å) after each atom.
Fractional positions:
Hg: 0.3332 0.6668 0.2500  5 Sm 3.06-3.28
Hg: 0.6668 0.3332 0.7500  5 Sm 3.06-3.28
Sm: 0.6666 0.3334 0.2500  5 Hg 3.06-3.28
Sm: 0.3334 0.6666 0.7500  5 Hg 3.06-3.28
Tl: 0.0000 0.0000 0.0000  2 Tl 3.28, 6 Hg 3.47, 6 Sm 3.47
Tl: 0.0000 0.0000 0.5000  2 Tl 3.28, 6 Hg 3.47, 6 Sm 3.47

Properties
Space-group type: P6_3/mmc, No. 194

---

A geometry-optimized SmTlHg structure, computed with GGA-PBE.

Cell lengths 4.9917, 4.9917, 4.9917 Å; angles 60.00, 60.00, 60.00 degrees
With the nearest neighbours (Å) after each atom.
Fractional positions:
Hg: 0.2500 0.2500 0.2500  4 Tl 3.06
Sm: 0.7500 0.7500 0.7500  4 Tl 3.06
Tl: 0.0000 0.0000 0.0000  4 Hg 3.06, 4 Sm 3.06

Properties
Space-group type: F-43m, No. 216

---

A geometry-optimized SmYTl2Hg2 structure, computed with GGA-PBE.

Cell lengths 4.9007, 4.9007, 7.5781 Å; angles 90.00, 90.00, 120.00 degrees
With the nearest neighbours (Å) after each atom.
Fractional positions:
Hg: 0.3333 0.6667 0.0496  4 Tl 2.92-3.09, 3 Sm 3.18
Hg: 0.6667 0.3333 0.5551  4 Tl 2.92-3.03, 3 Y 3.16
Sm: 0.0000 0.0000 0.2410  3 Hg 3.18, 3 Tl 3.27
Tl: 0.3333 0.6667 0.4574  4 Hg 2.92-3.09, 3 Sm 3.27
Tl: 0.6667 0.3333 0.9553  4 Hg 2.92-3.03, 3 Y 3.26
Y: 0.0000 0.0000 0.7416  3 Hg 3.16, 3 Tl 3.26

Properties
Space-group type: P3m1, No. 156

---

A geometry-optimized SmTmHg2 structure, computed with GGA-PBE.

Cell lengths 3.6822, 3.6822, 7.6041 Å; angles 90.00, 90.00, 90.00 degrees
With the nearest neighbours (Å) after each atom.
Fractional positions:
Hg: 0.0000 0.0000 0.2326  4 Tm 3.15, 4 Sm 3.30
Hg: 0.0000 0.0000 0.7674  4 Tm 3.15, 4 Sm 3.30
Sm: 0.5000 0.5000 0.5000  8 Hg 3.30, 4 Sm 3.68
Tm: 0.5000 0.5000 0.0000  8 Hg 3.15

Properties
Space-group type: P4/mmm, No. 123

---

A geometry-optimized SmTmHg structure, computed with GGA-PBE.

Cell lengths 5.1105, 5.1105, 5.1105 Å; angles 60.00, 60.00, 60.00 degrees
With the nearest neighbours (Å) after each atom.
Fractional positions:
Hg: 0.0000 0.0000 0.0000  4 Sm 3.13, 4 Tm 3.13
Sm: 0.2500 0.2500 0.2500  4 Hg 3.13
Tm: 0.7500 0.7500 0.7500  4 Hg 3.13

Properties
Space-group type: F-43m, No. 216

---

A geometry-optimized SmHgW structure, computed with GGA-PBE.

Cell lengths 4.8445, 4.8445, 4.8445 Å; angles 60.00, 60.00, 60.00 degrees
With the nearest neighbours (Å) after each atom.
Fractional positions:
Hg: 0.2500 0.2500 0.2500  4 W 2.97
Sm: 0.7500 0.7500 0.7500  4 W 2.97
W: 0.0000 0.0000 0.0000  4 Hg 2.97, 4 Sm 2.97

Properties
Space-group type: F-43m, No. 216

---

A geometry-optimized SmHgW structure, computed with GGA-PBE.

Cell lengths 4.9186, 4.9186, 4.9186 Å; angles 60.00, 60.00, 60.00 degrees
With the nearest neighbours (Å) after each atom.
Fractional positions:
Hg: 0.2500 0.2500 0.2500  4 Sm 3.01
Sm: 0.0000 0.0000 0.0000  4 W 3.01, 4 Hg 3.01
W: 0.7500 0.7500 0.7500  4 Sm 3.01

Properties
Space-group type: F-43m, No. 216

---

A geometry-optimized SmYHg4 structure, computed with GGA-PBE.

Cell lengths 3.4325, 4.9541, 8.5953 Å; angles 90.00, 90.00, 90.00 degrees
With the nearest neighbours (Å) after each atom.
Fractional positions:
Hg: 0.4972 0.5000 0.1686  3 Hg 2.86-2.90
Hg: 0.5030 0.0000 0.3350  3 Hg 2.84-2.86
Hg: 0.4970 0.0000 0.6650  3 Hg 2.84-2.86
Hg: 0.5028 0.5000 0.8314  3 Hg 2.86-2.90
Sm: 0.0000 0.0000 0.0000  12 Hg 3.34-3.36, 2 Sm 3.43
Y: 0.0000 0.5000 0.5000  12 Hg 3.32-3.34, 2 Y 3.43

Properties
Space-group type: P2/m, No. 10

---

A geometry-optimized Sm2ZnHg3 structure, computed with GGA-PBE.

Cell lengths 9.7299, 9.1431, 6.0333 Å; angles 76.73, 66.15, 37.12 degrees
With the nearest neighbours (Å) after each atom.
Fractional positions:
Hg: 0.8280 0.8280 0.1720  1 Zn 2.71, 2 Hg 2.91
Hg: 0.3451 0.8269 0.1731  1 Zn 2.71, 2 Hg 2.90-2.91
Hg: 0.1731 0.6549 0.3451  1 Zn 2.71, 2 Hg 2.90-2.91
Hg: 0.8269 0.3451 0.6549  1 Zn 2.71, 2 Hg 2.90-2.91
Hg: 0.6549 0.1731 0.8269  1 Zn 2.71, 2 Hg 2.90-2.91
Hg: 0.1720 0.1720 0.8280  1 Zn 2.71, 2 Hg 2.91
Sm: 0.7536 0.2464 0.2464  10 Hg 3.30-3.40, 2 Zn 3.34, 2 Sm 3.51-3.61
Sm: 0.2500 0.2500 0.2500  8 Hg 3.29, 4 Zn 3.33, 2 Sm 3.56
Sm: 0.7500 0.7500 0.7500  8 Hg 3.29, 4 Zn 3.33, 2 Sm 3.56
Sm: 0.2464 0.7536 0.7536  10 Hg 3.30-3.40, 2 Zn 3.34, 2 Sm 3.51-3.61
Zn: 0.6669 0.6669 0.3331  3 Hg 2.71
Zn: 0.3331 0.3331 0.6669  3 Hg 2.71

Properties
Space-group type: Fmmm, No. 69

---

A geometry-optimized SmZnHg structure, computed with GGA-PBE.

Cell lengths 4.7371, 4.7371, 4.7371 Å; angles 60.00, 60.00, 60.00 degrees
With the nearest neighbours (Å) after each atom.
Fractional positions:
Hg: 0.2500 0.2500 0.2500  4 Zn 2.90
Sm: 0.7500 0.7500 0.7500  4 Zn 2.90
Zn: 0.0000 0.0000 0.0000  4 Sm 2.90, 4 Hg 2.90

Properties
Space-group type: F-43m, No. 216

---

A geometry-optimized SmZnHg structure, computed with GGA-PBE.

Cell lengths 4.9392, 4.9392, 4.9392 Å; angles 60.00, 60.00, 60.00 degrees
With the nearest neighbours (Å) after each atom.
Fractional positions:
Hg: 0.2500 0.2500 0.2500  4 Sm 3.02
Sm: 0.0000 0.0000 0.0000  4 Zn 3.02, 4 Hg 3.02
Zn: 0.7500 0.7500 0.7500  4 Sm 3.02

Properties
Space-group type: F-43m, No. 216

---

A geometry-optimized SmZrHg structure, computed with GGA-PBE.

Cell lengths 5.0181, 5.0181, 5.0181 Å; angles 60.00, 60.00, 60.00 degrees
With the nearest neighbours (Å) after each atom.
Fractional positions:
Hg: 0.2500 0.2500 0.2500  4 Sm 3.07
Sm: 0.0000 0.0000 0.0000  4 Zr 3.07, 4 Hg 3.07
Zr: 0.7500 0.7500 0.7500  4 Sm 3.07

Properties
Space-group type: F-43m, No. 216

---

A geometry-optimized SmZrHg structure, computed with GGA-PBE.

Cell lengths 4.9881, 4.9881, 4.9881 Å; angles 60.00, 60.00, 60.00 degrees
With the nearest neighbours (Å) after each atom.
Fractional positions:
Hg: 0.0000 0.0000 0.0000  4 Zr 3.05, 4 Sm 3.05
Sm: 0.2500 0.2500 0.2500  4 Hg 3.05
Zr: 0.7500 0.7500 0.7500  4 Hg 3.05

Properties
Space-group type: F-43m, No. 216

---

A geometry-optimized Sn2Hg structure, computed with GGA-PBE.

Cell lengths 5.9614, 5.9614, 5.9614 Å; angles 105.72, 105.72, 117.27 degrees
With the nearest neighbours (Å) after each atom.
Fractional positions:
Hg: 0.2500 0.2500 0.0000  2 Hg 3.10, 8 Sn 3.15
Hg: 0.7500 0.7500 0.0000  2 Hg 3.10, 8 Sn 3.15
Sn: 0.8490 0.3490 0.1979  1 Sn 3.08, 4 Hg 3.15
Sn: 0.3490 0.1510 0.5000  1 Sn 3.08, 4 Hg 3.15
Sn: 0.6510 0.8490 0.5000  1 Sn 3.08, 4 Hg 3.15
Sn: 0.1510 0.6510 0.8021  1 Sn 3.08, 4 Hg 3.15

Properties
Space-group type: I4/mcm, No. 140

---

A geometry-optimized Sn2Hg structure, computed with GGA-PBE.

Cell lengths 6.2192, 6.2192, 6.2192 Å; angles 60.00, 60.00, 60.00 degrees
With the nearest neighbours (Å) after each atom.
Fractional positions:
Hg: 0.0000 0.0000 0.0000  12 Sn 3.65, 4 Hg 3.81
Hg: 0.2500 0.2500 0.2500  12 Sn 3.65, 4 Hg 3.81
Sn: 0.6250 0.6250 0.1250  6 Sn 3.11
Sn: 0.6250 0.1250 0.6250  6 Sn 3.11
Sn: 0.1250 0.6250 0.6250  6 Sn 3.11
Sn: 0.6250 0.6250 0.6250  6 Sn 3.11

Properties
Space-group type: Fd-3m, No. 227

---

A geometry-optimized SnHg2 structure, computed with GGA-PBE.

Cell lengths 6.0449, 6.0449, 6.0449 Å; angles 60.00, 60.00, 60.00 degrees
With the nearest neighbours (Å) after each atom.
Fractional positions:
Hg: 0.6250 0.6250 0.1250  6 Hg 3.02
Hg: 0.6250 0.1250 0.6250  6 Hg 3.02
Hg: 0.1250 0.6250 0.6250  6 Hg 3.02
Hg: 0.6250 0.6250 0.6250  6 Hg 3.02
Sn: 0.0000 0.0000 0.0000  12 Hg 3.54, 4 Sn 3.70
Sn: 0.2500 0.2500 0.2500  12 Hg 3.54, 4 Sn 3.70

Properties
Space-group type: Fd-3m, No. 227

---

A geometry-optimized SnHg2 structure, computed with GGA-PBE.

Cell lengths 4.2507, 4.2507, 5.1849 Å; angles 90.00, 90.00, 120.00 degrees
With the nearest neighbours (Å) after each atom.
Fractional positions:
Hg: 0.3333 0.6667 0.3343  3 Hg 3.00, 3 Sn 3.00
Hg: 0.6667 0.3333 0.6657  3 Hg 3.00, 3 Sn 3.00
Sn: 0.0000 0.0000 0.0000  6 Hg 3.00

Properties
Space-group type: P-3m1, No. 164

---

A geometry-optimized SrSnHg structure, computed with GGA-PBE.

Cell lengths 7.9607, 7.9607, 4.8023 Å; angles 90.00, 90.00, 120.00 degrees
With the nearest neighbours (Å) after each atom.
Fractional positions:
Hg: 0.2558 0.0000 0.0000  4 Sn 3.01-3.15
Hg: 0.0000 0.2558 0.0000  4 Sn 3.01-3.15
Hg: 0.7442 0.7442 0.0000  4 Sn 3.01-3.15
Sn: 0.6667 0.3333 0.0000  3 Hg 3.01
Sn: 0.3333 0.6667 0.0000  3 Hg 3.01
Sn: 0.0000 0.0000 0.5000  6 Hg 3.15, 3 Sr 3.37
Sr: 0.5763 0.0000 0.5000  5 Sn 3.37-3.38, 2 Hg 3.50
Sr: 0.4237 0.4237 0.5000  5 Sn 3.37-3.38, 2 Hg 3.50
Sr: 0.0000 0.5763 0.5000  5 Sn 3.37-3.38, 2 Hg 3.50

Properties
Space-group type: P-62m, No. 189

---

A geometry-optimized Sr2SnHg2 structure, computed with GGA-PBE.

Cell lengths 4.3605, 4.3605, 9.1574 Å; angles 103.77, 103.77, 90.00 degrees
With the nearest neighbours (Å) after each atom.
Fractional positions:
Hg: 0.7500 0.2500 0.5000  4 Hg 3.08, 4 Sr 3.36
Hg: 0.2500 0.7500 0.5000  4 Hg 3.08, 4 Sr 3.36
Sn: 0.0000 0.0000 0.0000  8 Sr 3.55
Sr: 0.6018 0.6018 0.2036  4 Hg 3.36, 1 Sr 3.51, 4 Sn 3.55
Sr: 0.3982 0.3982 0.7964  4 Hg 3.36, 1 Sr 3.51, 4 Sn 3.55

Properties
Space-group type: I4/mmm, No. 139

---

A geometry-optimized SrSnHg2 structure, computed with GGA-PBE.

Cell lengths 5.4031, 5.4031, 5.4031 Å; angles 60.00, 60.00, 60.00 degrees
With the nearest neighbours (Å) after each atom.
Fractional positions:
Hg: 0.0000 0.0000 0.0000  4 Hg 3.31, 4 Sr 3.31
Hg: 0.7500 0.7500 0.7500  4 Hg 3.31, 4 Sn 3.31
Sn: 0.5000 0.5000 0.5000  4 Hg 3.31, 4 Sr 3.31
Sr: 0.2500 0.2500 0.2500  4 Hg 3.31, 4 Sn 3.31

Properties
Space-group type: F-43m, No. 216

---

A geometry-optimized SrSnHg structure, computed with GGA-PBE.

Cell lengths 8.1047, 8.1047, 4.6290 Å; angles 90.00, 90.00, 120.00 degrees
With the nearest neighbours (Å) after each atom.
Fractional positions:
Hg: 0.6667 0.3333 0.0000  3 Sn 3.06, 6 Sr 3.39
Hg: 0.3333 0.6667 0.0000  3 Sn 3.06, 6 Sr 3.39
Hg: 0.0000 0.0000 0.5000  6 Sn 3.12, 3 Sr 3.25
Sn: 0.2575 0.0000 0.0000  4 Hg 3.06-3.12
Sn: 0.0000 0.2575 0.0000  4 Hg 3.06-3.12
Sn: 0.7425 0.7425 0.0000  4 Hg 3.06-3.12
Sr: 0.5988 0.0000 0.5000  5 Hg 3.25-3.39, 2 Sn 3.61
Sr: 0.4012 0.4012 0.5000  5 Hg 3.25-3.39, 2 Sn 3.61
Sr: 0.0000 0.5988 0.5000  5 Hg 3.25-3.39, 2 Sn 3.61

Properties
Space-group type: P-62m, No. 189

---

A geometry-optimized SrSnHg structure, computed with GGA-PBE.

Cell lengths 5.0016, 5.0016, 8.0637 Å; angles 90.00, 90.00, 120.00 degrees
With the nearest neighbours (Å) after each atom.
Fractional positions:
Hg: 0.3333 0.6667 0.0470  4 Sn 2.98-3.31, 3 Sr 3.30
Hg: 0.6667 0.3333 0.5470  4 Sn 2.98-3.31, 3 Sr 3.30
Sn: 0.3333 0.6667 0.4576  4 Hg 2.98-3.31
Sn: 0.6667 0.3333 0.9576  4 Hg 2.98-3.31
Sr: 0.0000 0.0000 0.2454  3 Hg 3.30, 3 Sn 3.36
Sr: 0.0000 0.0000 0.7454  3 Hg 3.30, 3 Sn 3.36

Properties
Space-group type: P6_3mc, No. 186

---

A geometry-optimized SrSnHg2 structure, computed with GGA-PBE.

Cell lengths 5.4031, 5.4031, 5.4031 Å; angles 60.00, 60.00, 60.00 degrees
With the nearest neighbours (Å) after each atom.
Fractional positions:
Hg: 0.0000 0.0000 0.0000  4 Hg 3.31, 4 Sn 3.31
Hg: 0.7500 0.7500 0.7500  4 Hg 3.31, 4 Sr 3.31
Sn: 0.2500 0.2500 0.2500  4 Hg 3.31, 4 Sr 3.31
Sr: 0.5000 0.5000 0.5000  4 Hg 3.31, 4 Sn 3.31

Properties
Space-group type: F-43m, No. 216

---

A geometry-optimized SrSn2Hg2 structure, computed with GGA-PBE.

Cell lengths 6.8405, 6.8405, 10.1107 Å; angles 115.87, 115.87, 42.78 degrees
With the nearest neighbours (Å) after each atom.
Fractional positions:
Hg: 0.8396 0.8396 0.1376  4 Sn 2.89-3.18
Hg: 0.6088 0.6088 0.4101  3 Sn 2.87-2.94
Hg: 0.3912 0.3912 0.5899  3 Sn 2.87-2.94
Hg: 0.1604 0.1604 0.8624  4 Sn 2.89-3.18
Sn: 0.4371 0.4371 0.0897  4 Hg 2.93-3.18, 1 Sn 2.93
Sn: 0.8723 0.8723 0.4403  3 Hg 2.87-2.89, 1 Sn 2.89
Sn: 0.1277 0.1277 0.5597  3 Hg 2.87-2.89, 1 Sn 2.89
Sn: 0.5629 0.5629 0.9103  4 Hg 2.93-3.18, 1 Sn 2.93
Sr: 0.1714 0.1714 0.2156  6 Hg 3.49-3.61, 7 Sn 3.53-3.77
Sr: 0.8286 0.8286 0.7844  6 Hg 3.49-3.61, 7 Sn 3.53-3.77

Properties
Space-group type: C2/m, No. 12

---

A geometry-optimized TaSnHg2 structure, computed with GGA-PBE.

Cell lengths 4.9972, 4.9972, 4.9972 Å; angles 60.00, 60.00, 60.00 degrees
With the nearest neighbours (Å) after each atom.
Fractional positions:
Hg: 0.0000 0.0000 0.0000  4 Hg 3.06, 4 Ta 3.06
Hg: 0.7500 0.7500 0.7500  4 Hg 3.06, 4 Sn 3.06
Sn: 0.5000 0.5000 0.5000  4 Ta 3.06, 4 Hg 3.06
Ta: 0.2500 0.2500 0.2500  4 Sn 3.06, 4 Hg 3.06

Properties
Space-group type: F-43m, No. 216

---

A geometry-optimized Tb2Sn3Hg3 structure, computed with GGA-PBE.

Cell lengths 4.6186, 4.7675, 9.0246 Å; angles 90.00, 90.00, 90.00 degrees
With the nearest neighbours (Å) after each atom.
Fractional positions:
Hg: 0.0000 0.5000 0.0000  4 Hg 3.20, 4 Tb 3.30, 4 Sn 3.32
Hg: 0.5000 0.5000 0.2454  2 Hg 3.20, 6 Sn 3.25-3.31, 4 Tb 3.32
Hg: 0.5000 0.5000 0.7546  2 Hg 3.20, 6 Sn 3.25-3.31, 4 Tb 3.32
Sn: 0.5000 0.0000 0.0000  4 Tb 3.25, 8 Hg 3.25-3.32
Sn: 0.5000 0.0000 0.5000  4 Tb 3.21, 4 Hg 3.31, 4 Sn 3.32
Sn: 0.0000 0.5000 0.5000  4 Hg 3.26, 4 Tb 3.26, 4 Sn 3.32
Tb: 0.0000 0.0000 0.2532  6 Sn 3.21-3.26, 6 Hg 3.30-3.32
Tb: 0.0000 0.0000 0.7468  6 Sn 3.21-3.26, 6 Hg 3.30-3.32

Properties
Space-group type: Pmmm, No. 47

---

no.,VASP energy (eV per atom)
1,-3.819
2,-2.287
3,-2.851
4,-2.674
5,-3.104
6,-2.924
7,-3.268
8,-4.939
9,-4.598
10,-2.474
11,-2.352
12,-2.352
13,-2.078
14,-3.777
15,-4.317
16,-2.641
17,-2.598
18,-1.354
19,-1.431
20,-2.495
21,-1.963
22,-1.886
23,-2.464
24,-2.549
25,-1.886
26,-2.404
27,-3.433
28,-3.207